5
Lattice="4.490 0.000 0.000 0.000 4.490 0.000 0.000 0.000 4.490" Properties=species:S:1:pos:R:3 comment="LaFe3Co | the Alexandria database | PBE | optimized geometry" de_polymorph_ev_per_atom=0.000 pbc="T T T"
La 0.000 0.000 0.000
Fe 0.000 2.245 2.245
Fe 2.245 0.000 2.245
Fe 2.245 2.245 0.000
Co 2.245 2.245 2.245

14
Lattice="-2.270 5.283 6.410 2.270 -5.283 6.410 2.270 5.283 -6.410" Properties=species:S:1:pos:R:3 comment="Sr3Al8Au3 | the Alexandria database | PBE | optimized geometry" de_polymorph_ev_per_atom=0.013 pbc="T T T"
Sr 0.000 0.000 0.000
Sr 0.000 0.000 4.127
Sr 0.000 0.000 8.693
Al 2.270 -1.444 2.275
Al 2.270 -2.294 4.896
Al 2.270 1.444 2.275
Al 0.000 2.989 1.514
Al 2.270 2.294 4.896
Al 0.000 3.839 4.134
Al 0.000 7.577 1.514
Al 0.000 6.727 4.134
Au 2.270 2.664 0.000
Au 0.000 5.283 0.000
Au 0.000 2.619 6.410

8
Lattice="10.181 -3.351 0.000 10.181 3.351 0.000 -0.108 0.000 3.824" Properties=species:S:1:pos:R:3 comment="CdSBr2 | the Alexandria database | PBE | optimized geometry" de_polymorph_ev_per_atom=0.035 pbc="T T T"
Cd 3.567 0.000 0.922
Cd 16.687 0.000 2.903
S 9.544 -0.984 2.999
S 10.710 -0.984 0.825
Br 8.048 2.255 1.031
Br 12.206 2.255 2.794
Br 5.971 -1.343 0.982
Br 14.283 -1.343 2.842

The following is a DFT calculation (PBE) of a relaxed LiRe2O crystal.

```
8
Lattice="-2.433 2.433 6.435 2.433 -2.433 6.435 2.433 2.433 -6.435" Properties=species:S:1:pos:R:3 pbc="T T T"
Li 2.433 1.216 1.609
Li 0.000 1.216 4.826
Re 0.000 0.000 0.000
Re 1.216 1.216 -3.217
Re 1.216 -1.216 3.217
Re 0.000 2.433 0.000
O 2.433 -1.216 4.826
O 0.000 3.649 1.609
```

The following is a DFT calculation (PBE) of a relaxed LiNdPt4 crystal.

```
6
Lattice="0.000 3.816 3.816 3.816 0.000 3.816 3.816 3.816 0.000" Properties=species:S:1:pos:R:3 pbc="T T T"
Li 0.000 0.000 0.000
Nd 1.908 1.908 1.908
Pt 4.774 2.858 2.858
Pt 2.858 4.774 2.858
Pt 2.858 2.858 4.774
Pt 4.774 4.774 4.774
```

The following is a DFT calculation (PBE) of a relaxed V2SbPd9 crystal.

```
12
Lattice="3.945 0.000 0.000 0.000 3.945 0.000 0.000 0.000 11.904" Properties=species:S:1:pos:R:3 pbc="T T T"
V 0.000 0.000 1.938
V 0.000 0.000 9.966
Sb 0.000 0.000 5.952
Pd 0.000 1.972 0.000
Pd 0.000 1.972 3.837
Pd 0.000 1.972 8.067
Pd 1.972 0.000 0.000
Pd 1.972 0.000 3.837
Pd 1.972 0.000 8.067
Pd 1.972 1.972 1.922
Pd 1.972 1.972 5.952
Pd 1.972 1.972 9.982
```

4
Lattice="3.092 0.000 0.000 0.000 3.092 0.000 0.000 0.000 7.363" Properties=species:S:1:pos:R:3 comment="Ta2InP | the Alexandria database | PBE | optimized geometry" de_polymorph_ev_per_atom=0.069 pbc="T T T"
Ta 0.000 0.000 1.453
Ta 0.000 0.000 5.910
In 1.546 1.546 3.682
P 1.546 1.546 0.000

The following is a DFT calculation (PBE) of a relaxed LuPaNiRh crystal.

```
4
Lattice="0.000 3.388 3.388 3.388 0.000 3.388 3.388 3.388 0.000" Properties=species:S:1:pos:R:3 pbc="T T T"
Lu 0.000 0.000 0.000
Pa 3.388 3.388 3.388
Ni 5.081 5.081 5.081
Rh 1.694 1.694 1.694
```

The following is a DFT calculation (PBE) of a relaxed P3Pb crystal.

```
4
Lattice="3.385 0.000 0.000 -1.693 2.932 0.000 0.000 0.000 7.846" Properties=species:S:1:pos:R:3 pbc="T T T"
P 0.000 0.000 0.000
P 0.000 1.954 1.519
P 0.000 1.954 6.327
Pb 0.000 0.000 3.923
```

5
Lattice="4.608 0.000 0.000 0.000 4.608 0.000 0.000 0.000 4.608" Properties=species:S:1:pos:R:3 comment="RbIrRu3 | the Alexandria database | PBE | optimized geometry" de_polymorph_ev_per_atom=1.755 pbc="T T T"
Rb 0.000 0.000 0.000
Ir 2.304 2.304 2.304
Ru 0.000 0.000 2.304
Ru 0.000 2.304 0.000
Ru 2.304 0.000 0.000

The following is a DFT calculation (PBE) of a relaxed HgTeN2O crystal.

```
5
Lattice="4.112 0.000 0.000 0.000 4.112 0.000 0.000 0.000 3.962" Properties=species:S:1:pos:R:3 pbc="T T T"
Hg 0.000 0.000 0.000
Te 2.056 2.056 1.981
N 0.000 2.056 1.981
N 2.056 0.000 1.981
O 2.056 2.056 0.000
```

The following is a DFT calculation (PBE) of a relaxed EuScPdPb crystal.

```
4
Lattice="0.000 3.652 3.652 3.652 0.000 3.652 3.652 3.652 0.000" Properties=species:S:1:pos:R:3 pbc="T T T"
Eu 0.000 0.000 0.000
Sc 3.652 3.652 3.652
Pd 5.478 5.478 5.478
Pb 1.826 1.826 1.826
```

10
Lattice="8.706 -2.222 0.000 8.706 2.222 0.000 -1.916 0.000 6.789" Properties=species:S:1:pos:R:3 comment="NaSn3Pt | the Alexandria database | PBE | optimized geometry" de_polymorph_ev_per_atom=0.028 pbc="T T T"
Na 0.828 0.000 2.167
Na 14.668 0.000 4.622
Sn 1.161 0.000 6.569
Sn 4.452 0.000 2.716
Sn 7.430 0.000 0.910
Sn 8.066 0.000 5.879
Sn 11.044 0.000 4.072
Sn 14.335 0.000 0.220
Pt 3.582 0.000 5.312
Pt 11.914 0.000 1.477

3
Lattice="0.000 3.346 3.346 3.346 0.000 3.346 3.346 3.346 0.000" Properties=species:S:1:pos:R:3 comment="CuSnBi | the Alexandria database | PBE | optimized geometry" de_polymorph_ev_per_atom=0.000 pbc="T T T"
Cu 0.000 0.000 0.000
Sn 5.019 5.019 5.019
Bi 1.673 1.673 1.673

5
Lattice="4.800 0.000 0.000 0.000 4.800 0.000 0.000 0.000 4.800" Properties=species:S:1:pos:R:3 comment="KTa3Cr | the Alexandria database | PBE | optimized geometry" de_polymorph_ev_per_atom=0.000 pbc="T T T"
K 0.000 0.000 0.000
Ta 0.000 2.400 2.400
Ta 2.400 0.000 2.400
Ta 2.400 2.400 0.000
Cr 2.400 2.400 2.400

5
Lattice="5.391 0.000 0.000 0.000 5.391 0.000 0.000 0.000 5.490" Properties=species:S:1:pos:R:3 comment="GaGeSb2Te | the Alexandria database | PBE | optimized geometry" de_polymorph_ev_per_atom=0.000 pbc="T T T"
Ga 0.000 0.000 0.000
Ge 2.696 2.696 2.745
Sb 0.000 2.696 2.745
Sb 2.696 0.000 2.745
Te 2.696 2.696 0.000

The following is a DFT calculation (PBE) of a relaxed Mn5GeRu6 crystal.

```
12
Lattice="2.124 -6.369 0.000 2.124 6.369 0.000 0.000 0.000 5.994" Properties=species:S:1:pos:R:3 pbc="T T T"
Mn 0.000 0.000 0.000
Mn 2.124 2.140 0.000
Mn 2.124 2.137 2.997
Mn 2.124 -2.140 0.000
Mn 2.124 -2.137 2.997
Ge 0.000 0.000 2.997
Ru 2.124 4.249 1.492
Ru 2.124 4.249 4.502
Ru 2.124 0.000 1.484
Ru 2.124 0.000 4.510
Ru 2.124 -4.249 1.492
Ru 2.124 -4.249 4.502
```

5
Lattice="5.662 0.000 0.000 0.000 5.662 0.000 0.000 0.000 3.594" Properties=species:S:1:pos:R:3 comment="InHSeBr2 | the Alexandria database | PBE | optimized geometry" de_polymorph_ev_per_atom=0.000 pbc="T T T"
In 0.000 0.000 0.000
H 2.831 2.831 1.797
Se 2.831 2.831 0.000
Br 0.000 2.831 1.797
Br 2.831 0.000 1.797

The following is a DFT calculation (PBE) of a relaxed Tl2TeHPd crystal.

```
5
Lattice="5.872 0.000 0.000 0.000 5.872 0.000 0.000 0.000 3.430" Properties=species:S:1:pos:R:3 pbc="T T T"
Tl 0.000 2.936 0.000
Tl 2.936 0.000 0.000
Te 0.000 0.000 1.715
H 2.936 2.936 1.715
Pd 2.936 2.936 0.000
```

8
Lattice="-2.077 2.077 8.720 2.077 -2.077 8.720 2.077 2.077 -8.720" Properties=species:S:1:pos:R:3 comment="TiTlRu2 | the Alexandria database | PBE | optimized geometry" de_polymorph_ev_per_atom=0.575 pbc="T T T"
Ti 0.000 0.000 0.000
Ti 0.000 2.077 4.360
Tl 2.077 0.000 4.360
Tl 0.000 0.000 8.720
Ru 3.116 0.730 -2.180
Ru 0.730 1.039 2.180
Ru -1.039 1.347 6.540
Ru 1.347 1.039 10.901

The following is a DFT calculation (PBE) of a relaxed CaBeRe2 crystal.

```
4
Lattice="2.689 -4.641 0.000 2.689 4.641 0.000 0.000 0.000 2.583" Properties=species:S:1:pos:R:3 pbc="T T T"
Ca 0.000 0.000 0.000
Be 2.689 0.000 0.000
Re 1.344 2.320 1.292
Re 1.344 -2.320 1.292
```

4
Lattice="1.649 0.952 11.876 -1.649 0.952 11.876 0.000 -1.904 11.876" Properties=species:S:1:pos:R:3 comment="Dy2PuZr | the Alexandria database | PBE | optimized geometry" de_polymorph_ev_per_atom=0.214 pbc="T T T"
Dy 0.000 0.000 3.128
Dy 0.000 0.000 32.500
Pu 0.000 0.000 17.814
Zr 0.000 0.000 0.000

The following is a DFT calculation (PBE) of a relaxed Rb4U3BiS12 crystal.

```
20
Lattice="-5.244 5.244 5.244 5.244 -5.244 5.244 5.244 5.244 -5.244" Properties=species:S:1:pos:R:3 pbc="T T T"
Rb 2.622 2.622 -2.622
Rb 2.622 -2.622 2.622
Rb -2.622 2.622 2.622
Rb 2.622 2.622 2.622
U 5.244 0.000 0.000
U 0.000 5.244 0.000
U 0.000 0.000 5.244
Bi 0.000 0.000 0.000
S 2.760 0.000 0.000
S 7.727 0.000 0.000
S 5.244 2.622 0.000
S 5.244 0.000 2.622
S 0.000 2.760 0.000
S 0.000 0.000 2.760
S 2.622 5.244 0.000
S 2.622 0.000 5.244
S 0.000 7.727 0.000
S 0.000 0.000 7.727
S 0.000 5.244 2.622
S 0.000 2.622 5.244
```

Computed values of D(E_F) (unit: states/eV/cell) for the preceding records, in sequence: 7.6, 5.3, 0.4, 8.7, 5.4, 12.6, 1.0, 4.3, 2.6, 8.6, 2.4, 11.4, 2.2, 0.7, 5.7, 4.9, 6.5, 4.5, 1.1, 8.3, 2.2, 11.1, 8.8.
Computed values of final energy (unit: eV/atom) for the preceding records, in sequence: -7.026, -3.615, -2.604, -7.073, -6.004, -6.030, -8.186, -7.302, -4.559, -4.172, -3.991, -6.858, -4.167, -3.918, -7.885, -3.263, -8.912, -2.457, -3.340, -6.667, -6.847, -7.674, -5.718.